{"formula": "HoZrH", "functional": "PBE", "state": "optimized geometry", "sg": "P3m1", "e_above_lowest_polymorph_mev_per_atom": 45.8, "cell": [[-2.583, -1.637, -1.493], [3.186, -1.128, -0.398], [-0.554, -3.107, 4.366]], "species": ["Zr", "Ho", "H"], "frac_coords": [[0.667, 0.333, 0.427], [0.000, 0.000, 0.932], [0.333, 0.667, 0.641]]}